# TiGa2Rh2 PBE relaxed
# DOS at the Fermi energy: 1.058 states/eV/atom
# relative energy among the computed polymorphs: 0 meV/atom
# volume: 14.963 Å³/atom
# ΔH_f (0 K): -0.5865 eV/atom
data_TiGa2Rh2
_cell_length_a 7.268
_cell_length_b 7.268
_cell_length_c 2.832
_cell_angle_alpha 90.00
_cell_angle_beta 90.00
_cell_angle_gamma 90.00
_space_group_name_H-M_alt 'P 1'
_space_group_IT_number 1
loop_
_space_group_symop_operation_xyz
'x,y,z'
loop_
_atom_site_label
_atom_site_type_symbol
_atom_site_fract_x
_atom_site_fract_y
_atom_site_fract_z
_atom_site_occupancy
Ti1 Ti 0.500 0.500 0.000 1
Rh1 Rh 0.672 0.828 0.500 1
Ga1 Ga 0.128 0.372 0.000 1
Ga2 Ga 0.872 0.628 0.000 1
Ga3 Ga 0.372 0.872 0.000 1
Ti2 Ti 0.000 0.000 0.000 1
Ga4 Ga 0.628 0.128 0.000 1
Rh2 Rh 0.328 0.172 0.500 1
Rh3 Rh 0.172 0.672 0.500 1
Rh4 Rh 0.828 0.328 0.500 1

# La2Tc PBE relaxed
# DOS at the Fermi energy: 1.205 states/eV/atom
# relative energy among the computed polymorphs: 116 meV/atom
# volume: 29.524 Å³/atom
# ΔH_f (0 K): 0.1501 eV/atom
data_La2Tc
_cell_length_a 6.574
_cell_length_b 6.574
_cell_length_c 8.029
_cell_angle_alpha 79.53
_cell_angle_beta 79.53
_cell_angle_gamma 31.32
_space_group_name_H-M_alt 'P 1'
_space_group_IT_number 1
loop_
_space_group_symop_operation_xyz
'x,y,z'
loop_
_atom_site_label
_atom_site_type_symbol
_atom_site_fract_x
_atom_site_fract_y
_atom_site_fract_z
_atom_site_occupancy
La1 La 0.974 0.974 0.002 1
Tc1 Tc 0.250 0.250 0.861 1
La2 La 0.393 0.393 0.447 1
La3 La 0.628 0.628 0.647 1
La4 La 0.702 0.702 0.147 1
Tc2 Tc 0.888 0.888 0.730 1

# ScHg4As PBE relaxed
# DOS at the Fermi energy: 0.537 states/eV/atom
# volume: 23.854 Å³/atom
# ΔH_f (0 K): 0.1965 eV/atom
data_ScHg4As
_cell_length_a 5.871
_cell_length_b 5.871
_cell_length_c 5.871
_cell_angle_alpha 60.00
_cell_angle_beta 60.00
_cell_angle_gamma 60.00
_space_group_name_H-M_alt 'P 1'
_space_group_IT_number 1
loop_
_space_group_symop_operation_xyz
'x,y,z'
loop_
_atom_site_label
_atom_site_type_symbol
_atom_site_fract_x
_atom_site_fract_y
_atom_site_fract_z
_atom_site_occupancy
Hg1 Hg 0.375 0.375 0.375 1
Hg2 Hg 0.875 0.375 0.375 1
Hg3 Hg 0.375 0.375 0.875 1
Hg4 Hg 0.375 0.875 0.375 1
As1 As 0.000 0.000 0.000 1
Sc1 Sc 0.750 0.750 0.750 1

# Ca2SnGe PBE relaxed
# DOS at the Fermi energy: 0.437 states/eV/atom
# volume: 27.858 Å³/atom
# ΔH_f (0 K): -0.6420 eV/atom
data_Ca2SnGe
_cell_length_a 4.200
_cell_length_b 6.120
_cell_length_c 9.416
_cell_angle_alpha 112.94
_cell_angle_beta 90.00
_cell_angle_gamma 90.00
_space_group_name_H-M_alt 'P 1'
_space_group_IT_number 1
loop_
_space_group_symop_operation_xyz
'x,y,z'
loop_
_atom_site_label
_atom_site_type_symbol
_atom_site_fract_x
_atom_site_fract_y
_atom_site_fract_z
_atom_site_occupancy
Ca1 Ca 0.750 0.232 0.424 1
Ge1 Ge 0.750 0.664 0.792 1
Ca2 Ca 0.250 0.768 0.576 1
Sn1 Sn 0.250 0.338 0.710 1
Ca3 Ca 0.250 0.777 0.061 1
Sn2 Sn 0.750 0.662 0.290 1
Ge2 Ge 0.250 0.336 0.208 1
Ca4 Ca 0.750 0.223 0.939 1

# NaPt2 PBE relaxed
# DOS at the Fermi energy: 0.457 states/eV/atom
# relative energy among the computed polymorphs: 39 meV/atom
# volume: 18.134 Å³/atom
# ΔH_f (0 K): -0.3480 eV/atom
data_NaPt2
_cell_length_a 5.356
_cell_length_b 17.516
_cell_length_c 5.356
_cell_angle_alpha 90.00
_cell_angle_beta 120.00
_cell_angle_gamma 90.00
_space_group_name_H-M_alt 'P 1'
_space_group_IT_number 1
loop_
_space_group_symop_operation_xyz
'x,y,z'
loop_
_atom_site_label
_atom_site_type_symbol
_atom_site_fract_x
_atom_site_fract_y
_atom_site_fract_z
_atom_site_occupancy
Pt1 Pt 0.500 0.000 0.500 1
Na1 Na 0.667 0.156 0.333 1
Pt2 Pt 0.163 0.250 0.837 1
Na2 Na 0.667 0.344 0.333 1
Pt3 Pt 0.000 0.500 0.500 1
Pt4 Pt 0.837 0.750 0.163 1
Pt5 Pt 0.333 0.124 0.667 1
Pt6 Pt 0.163 0.250 0.327 1
Pt7 Pt 0.673 0.250 0.837 1
Pt8 Pt 0.333 0.376 0.667 1
Pt9 Pt 0.500 0.500 0.500 1
Pt10 Pt 0.667 0.624 0.333 1
Na3 Na 0.333 0.844 0.667 1
Pt11 Pt 0.000 0.000 0.500 1
Na4 Na 0.000 0.592 0.000 1
Na5 Na 0.000 0.408 0.000 1
Na6 Na 0.000 0.092 0.000 1
Pt12 Pt 0.667 0.876 0.333 1
Na7 Na 0.000 0.908 0.000 1
Pt13 Pt 0.327 0.750 0.163 1
Pt14 Pt 0.837 0.750 0.673 1
Na8 Na 0.333 0.656 0.667 1
Pt15 Pt 0.500 0.500 0.000 1
Pt16 Pt 0.500 0.000 0.000 1

# TlSnB2Os PBE relaxed
# DOS at the Fermi energy: 0.645 states/eV/atom
# volume: 19.844 Å³/atom
# ΔH_f (0 K): 2.3234 eV/atom
data_TlSnB2Os
_cell_length_a 4.240
_cell_length_b 5.518
_cell_length_c 4.240
_cell_angle_alpha 90.00
_cell_angle_beta 90.00
_cell_angle_gamma 90.00
_space_group_name_H-M_alt 'P 1'
_space_group_IT_number 1
loop_
_space_group_symop_operation_xyz
'x,y,z'
loop_
_atom_site_label
_atom_site_type_symbol
_atom_site_fract_x
_atom_site_fract_y
_atom_site_fract_z
_atom_site_occupancy
B1 B 0.000 0.000 0.500 1
Tl1 Tl 0.000 0.000 0.000 1
Sn1 Sn 0.500 0.500 0.500 1
Os1 Os 0.000 0.500 0.000 1
B2 B 0.500 0.000 0.000 1